28
Lattice="-6.705 -5.087 0.499 1.126 -8.232 2.438 -4.034 -0.923 7.606" Properties=species:S:1:pos:R:3 comment="TbNp2F11 PBE relaxed" n_ef_per_ev_atom=0.91 dft_energy_ev_per_cell=-204.44 e_form_raw_ev_per_atom=-3.652 pbc="T T T"
Tb -7.210 -10.681 7.907
Tb -2.403 -3.560 2.636
Np -4.893 -9.225 4.409
Np -4.720 -5.017 6.134
Np -8.778 -6.561 7.090
Np -0.835 -7.681 3.453
F -5.833 -9.633 6.361
F -3.780 -4.609 4.182
F -2.739 -5.724 6.797
F -7.868 -12.747 8.734
F -6.873 -8.518 3.746
F -1.745 -1.495 1.809
F -5.693 -9.535 9.238
F -3.920 -4.707 1.305
F -4.806 -7.121 5.271
F 0.000 0.000 0.000
F -5.830 -11.109 3.979
F -3.783 -3.132 6.564
F -6.762 -6.205 6.440
F -2.851 -8.037 4.103
F -3.203 -10.520 5.000
F -6.409 -3.722 5.543
F -5.331 -4.877 8.252
F -2.300 -2.251 4.535
F -4.281 -9.365 2.290
F -7.313 -11.991 6.008
F -1.686 -5.749 2.799
F -7.927 -8.492 7.744